# GaFeAgPt, optimized geometry, DFT PBE
# * raw total energy: -5.07 eV/atom
# * total moment: 2.71 μB per formula unit
# * symmetry: F-43m (216)
# * V: 243.1 Å³ per cell
data_GaFeAgPt
_cell_length_a 6.241
_cell_length_b 6.241
_cell_length_c 6.241
_cell_angle_alpha 90.00
_cell_angle_beta 90.00
_cell_angle_gamma 90.00
_space_group_name_H-M_alt 'P 1'
_space_group_IT_number 1
loop_
_space_group_symop_operation_xyz
'x,y,z'
loop_
_atom_site_label
_atom_site_type_symbol
_atom_site_fract_x
_atom_site_fract_y
_atom_site_fract_z
Ga1 Ga 0.000 0.000 0.000
Ga2 Ga 0.000 0.500 0.500
Ga3 Ga 0.500 0.000 0.500
Ga4 Ga 0.500 0.500 0.000
Fe1 Fe 0.250 0.250 0.250
Fe2 Fe 0.250 0.750 0.750
Fe3 Fe 0.750 0.250 0.750
Fe4 Fe 0.750 0.750 0.250
Ag1 Ag 0.000 0.000 0.500
Ag2 Ag 0.000 0.500 0.000
Ag3 Ag 0.500 0.000 0.000
Ag4 Ag 0.500 0.500 0.500
Pt1 Pt 0.250 0.250 0.750
Pt2 Pt 0.250 0.750 0.250
Pt3 Pt 0.750 0.250 0.250
Pt4 Pt 0.750 0.750 0.750



# GaFeReAg, optimized geometry, DFT PBE
# * raw total energy: -6.08 eV/atom
# * total moment: 2.20 μB per formula unit
# * symmetry: F-43m (216)
# * V: 234.6 Å³ per cell
data_GaFeReAg
_cell_length_a 6.168
_cell_length_b 6.168
_cell_length_c 6.168
_cell_angle_alpha 90.00
_cell_angle_beta 90.00
_cell_angle_gamma 90.00
_space_group_name_H-M_alt 'P 1'
_space_group_IT_number 1
loop_
_space_group_symop_operation_xyz
'x,y,z'
loop_
_atom_site_label
_atom_site_type_symbol
_atom_site_fract_x
_atom_site_fract_y
_atom_site_fract_z
Ga1 Ga 0.000 0.000 0.000
Ga2 Ga 0.000 0.500 0.500
Ga3 Ga 0.500 0.000 0.500
Ga4 Ga 0.500 0.500 0.000
Fe1 Fe 0.250 0.250 0.250
Fe2 Fe 0.250 0.750 0.750
Fe3 Fe 0.750 0.250 0.750
Fe4 Fe 0.750 0.750 0.250
Re1 Re 0.000 0.000 0.500
Re2 Re 0.000 0.500 0.000
Re3 Re 0.500 0.000 0.000
Re4 Re 0.500 0.500 0.500
Ag1 Ag 0.250 0.250 0.750
Ag2 Ag 0.250 0.750 0.250
Ag3 Ag 0.750 0.250 0.250
Ag4 Ag 0.750 0.750 0.750



# ScGaFeAg, optimized geometry, DFT PBE
# * raw total energy: -5.23 eV/atom
# * total moment: 2.44 μB per formula unit
# * symmetry: F-43m (216)
# * V: 267.1 Å³ per cell
data_ScGaFeAg
_cell_length_a 6.440
_cell_length_b 6.440
_cell_length_c 6.440
_cell_angle_alpha 90.00
_cell_angle_beta 90.00
_cell_angle_gamma 90.00
_space_group_name_H-M_alt 'P 1'
_space_group_IT_number 1
loop_
_space_group_symop_operation_xyz
'x,y,z'
loop_
_atom_site_label
_atom_site_type_symbol
_atom_site_fract_x
_atom_site_fract_y
_atom_site_fract_z
Sc1 Sc 0.000 0.000 0.000
Sc2 Sc 0.000 0.500 0.500
Sc3 Sc 0.500 0.000 0.500
Sc4 Sc 0.500 0.500 0.000
Ga1 Ga 0.250 0.250 0.250
Ga2 Ga 0.250 0.750 0.750
Ga3 Ga 0.750 0.250 0.750
Ga4 Ga 0.750 0.750 0.250
Fe1 Fe 0.000 0.000 0.500
Fe2 Fe 0.000 0.500 0.000
Fe3 Fe 0.500 0.000 0.000
Fe4 Fe 0.500 0.500 0.500
Ag1 Ag 0.250 0.250 0.750
Ag2 Ag 0.250 0.750 0.250
Ag3 Ag 0.750 0.250 0.250
Ag4 Ag 0.750 0.750 0.750



# ScGaFeAg, optimized geometry, DFT PBE
# * raw total energy: -5.22 eV/atom
# * total moment: 1.39 μB per formula unit
# * symmetry: F-43m (216)
# * V: 258.6 Å³ per cell
data_ScGaFeAg
_cell_length_a 6.371
_cell_length_b 6.371
_cell_length_c 6.371
_cell_angle_alpha 90.00
_cell_angle_beta 90.00
_cell_angle_gamma 90.00
_space_group_name_H-M_alt 'P 1'
_space_group_IT_number 1
loop_
_space_group_symop_operation_xyz
'x,y,z'
loop_
_atom_site_label
_atom_site_type_symbol
_atom_site_fract_x
_atom_site_fract_y
_atom_site_fract_z
Sc1 Sc 0.000 0.000 0.000
Sc2 Sc 0.000 0.500 0.500
Sc3 Sc 0.500 0.000 0.500
Sc4 Sc 0.500 0.500 0.000
Ga1 Ga 0.000 0.000 0.500
Ga2 Ga 0.000 0.500 0.000
Ga3 Ga 0.500 0.000 0.000
Ga4 Ga 0.500 0.500 0.500
Fe1 Fe 0.250 0.250 0.250
Fe2 Fe 0.250 0.750 0.750
Fe3 Fe 0.750 0.250 0.750
Fe4 Fe 0.750 0.750 0.250
Ag1 Ag 0.250 0.250 0.750
Ag2 Ag 0.250 0.750 0.250
Ag3 Ag 0.750 0.250 0.250
Ag4 Ag 0.750 0.750 0.750



# GaFeTcAg, optimized geometry, DFT PBE
# * raw total energy: -5.77 eV/atom
# * total moment: 3.77 μB per formula unit
# * symmetry: F-43m (216)
# * V: 238.8 Å³ per cell
data_GaFeTcAg
_cell_length_a 6.204
_cell_length_b 6.204
_cell_length_c 6.204
_cell_angle_alpha 90.00
_cell_angle_beta 90.00
_cell_angle_gamma 90.00
_space_group_name_H-M_alt 'P 1'
_space_group_IT_number 1
loop_
_space_group_symop_operation_xyz
'x,y,z'
loop_
_atom_site_label
_atom_site_type_symbol
_atom_site_fract_x
_atom_site_fract_y
_atom_site_fract_z
Ga1 Ga 0.000 0.000 0.000
Ga2 Ga 0.000 0.500 0.500
Ga3 Ga 0.500 0.000 0.500
Ga4 Ga 0.500 0.500 0.000
Fe1 Fe 0.250 0.250 0.250
Fe2 Fe 0.250 0.750 0.750
Fe3 Fe 0.750 0.250 0.750
Fe4 Fe 0.750 0.750 0.250
Tc1 Tc 0.250 0.250 0.750
Tc2 Tc 0.250 0.750 0.250
Tc3 Tc 0.750 0.250 0.250
Tc4 Tc 0.750 0.750 0.750
Ag1 Ag 0.000 0.000 0.500
Ag2 Ag 0.000 0.500 0.000
Ag3 Ag 0.500 0.000 0.000
Ag4 Ag 0.500 0.500 0.500



# GaFeAgW, optimized geometry, DFT PBE
# * raw total energy: -6.28 eV/atom
# * total moment: 0.28 μB per formula unit
# * symmetry: F-43m (216)
# * V: 235.7 Å³ per cell
data_GaFeAgW
_cell_length_a 6.178
_cell_length_b 6.178
_cell_length_c 6.178
_cell_angle_alpha 90.00
_cell_angle_beta 90.00
_cell_angle_gamma 90.00
_space_group_name_H-M_alt 'P 1'
_space_group_IT_number 1
loop_
_space_group_symop_operation_xyz
'x,y,z'
loop_
_atom_site_label
_atom_site_type_symbol
_atom_site_fract_x
_atom_site_fract_y
_atom_site_fract_z
Ga1 Ga 0.000 0.000 0.000
Ga2 Ga 0.000 0.500 0.500
Ga3 Ga 0.500 0.000 0.500
Ga4 Ga 0.500 0.500 0.000
Fe1 Fe 0.250 0.250 0.250
Fe2 Fe 0.250 0.750 0.750
Fe3 Fe 0.750 0.250 0.750
Fe4 Fe 0.750 0.750 0.250
Ag1 Ag 0.250 0.250 0.750
Ag2 Ag 0.250 0.750 0.250
Ag3 Ag 0.750 0.250 0.250
Ag4 Ag 0.750 0.750 0.750
W1 W 0.000 0.000 0.500
W2 W 0.000 0.500 0.000
W3 W 0.500 0.000 0.000
W4 W 0.500 0.500 0.500



# FeAgGe2, optimized geometry, DFT PBE
# * raw total energy: -4.63 eV/atom
# * total moment: 3.01 μB per formula unit
# * symmetry: F-43m (216)
# * V: 271.6 Å³ per cell
data_FeAgGe2
_cell_length_a 6.476
_cell_length_b 6.476
_cell_length_c 6.476
_cell_angle_alpha 90.00
_cell_angle_beta 90.00
_cell_angle_gamma 90.00
_space_group_name_H-M_alt 'P 1'
_space_group_IT_number 1
loop_
_space_group_symop_operation_xyz
'x,y,z'
loop_
_atom_site_label
_atom_site_type_symbol
_atom_site_fract_x
_atom_site_fract_y
_atom_site_fract_z
Fe1 Fe 0.000 0.000 0.000
Fe2 Fe 0.000 0.500 0.500
Fe3 Fe 0.500 0.000 0.500
Fe4 Fe 0.500 0.500 0.000
Ag1 Ag 0.250 0.250 0.750
Ag2 Ag 0.250 0.750 0.250
Ag3 Ag 0.750 0.250 0.250
Ag4 Ag 0.750 0.750 0.750
Ge1 Ge 0.000 0.000 0.500
Ge2 Ge 0.000 0.500 0.000
Ge3 Ge 0.250 0.250 0.250
Ge4 Ge 0.250 0.750 0.750
Ge5 Ge 0.500 0.000 0.000
Ge6 Ge 0.500 0.500 0.500
Ge7 Ge 0.750 0.250 0.750
Ge8 Ge 0.750 0.750 0.250



# FeAgHgGe, optimized geometry, DFT PBE
# * raw total energy: -3.56 eV/atom
# * total moment: 2.44 μB per formula unit
# * symmetry: F-43m (216)
# * V: 283.4 Å³ per cell
data_FeAgHgGe
_cell_length_a 6.569
_cell_length_b 6.569
_cell_length_c 6.569
_cell_angle_alpha 90.00
_cell_angle_beta 90.00
_cell_angle_gamma 90.00
_space_group_name_H-M_alt 'P 1'
_space_group_IT_number 1
loop_
_space_group_symop_operation_xyz
'x,y,z'
loop_
_atom_site_label
_atom_site_type_symbol
_atom_site_fract_x
_atom_site_fract_y
_atom_site_fract_z
Fe1 Fe 0.000 0.000 0.000
Fe2 Fe 0.000 0.500 0.500
Fe3 Fe 0.500 0.000 0.500
Fe4 Fe 0.500 0.500 0.000
Ag1 Ag 0.250 0.250 0.250
Ag2 Ag 0.250 0.750 0.750
Ag3 Ag 0.750 0.250 0.750
Ag4 Ag 0.750 0.750 0.250
Hg1 Hg 0.000 0.000 0.500
Hg2 Hg 0.000 0.500 0.000
Hg3 Hg 0.500 0.000 0.000
Hg4 Hg 0.500 0.500 0.500
Ge1 Ge 0.250 0.250 0.750
Ge2 Ge 0.250 0.750 0.250
Ge3 Ge 0.750 0.250 0.250
Ge4 Ge 0.750 0.750 0.750